one.
A plane-wave DFT calculation with PBEsol was carried out for KCdAg after structural relaxation.

Output
- Magnetization: 0.0 μB/cell

extended XYZ file:
```
3
Lattice="-3.221 3.841 0.823 -2.078 0.632 4.592 1.410 3.918 2.908" Properties=species:S:1:pos:R:3 pbc="T T T"
K 0.000 0.000 0.000
Cd -0.972 2.098 2.081
Ag -1.944 4.196 4.162
```



two.
A plane-wave DFT calculation with PBEsol was carried out for KCdAg after structural relaxation.

Output
- Magnetization: 0.0 μB/cell

extended XYZ file:
```
3
Lattice="-2.182 2.939 0.629 -2.873 -1.812 -1.502 1.093 -2.789 5.864" Properties=species:S:1:pos:R:3 pbc="T T T"
K -0.961 -1.491 3.637
Cd -2.871 0.031 0.863
Ag -0.130 -0.201 0.491
```



What should be chosen as the most stable of them? Choose two.



one.
A plane-wave DFT calculation with PBEsol was carried out for KCdAg after structural relaxation.

Output
- Magnetization: 0.0 μB/cell

extended XYZ file:
```
3
Lattice="-3.494 -0.538 -3.976 1.701 -0.108 -5.039 -0.193 -4.534 -2.776" Properties=species:S:1:pos:R:3 pbc="T T T"
K -0.496 -1.295 -2.948
Cd -0.993 -2.590 -5.896
Ag 0.000 0.000 0.000
```



two.
A plane-wave DFT calculation with PBEsol was carried out for KCdAg after structural relaxation.

Output
- Magnetization: 0.0 μB/cell

extended XYZ file:
```
3
Lattice="4.381 0.000 0.000 0.000 4.820 0.000 0.000 -2.410 4.174" Properties=species:S:1:pos:R:3 pbc="T T T"
K 2.190 2.410 1.391
Ag 0.000 0.000 0.000
Cd 0.000 0.000 2.783
```



What should be chosen as the most stable of them? Choose two.



one.
A plane-wave DFT calculation with PBEsol was carried out for LiCd2Ag2 after structural relaxation.

Output
- Magnetization: 0.0 μB/cell

extended XYZ file:
```
10
Lattice="-0.479 1.949 -2.248 -7.928 -0.927 0.885 -0.119 6.054 5.275" Properties=species:S:1:pos:R:3 pbc="T T T"
Li -4.023 2.564 3.080
Li 0.000 0.000 0.000
Ag -6.897 2.227 1.381
Ag -1.629 4.849 2.531
Ag -5.613 5.412 3.868
Ag -2.913 1.665 0.044
Cd -3.009 4.907 4.895
Cd -5.037 0.221 1.265
Cd -6.945 3.032 4.108
Cd -1.101 2.096 2.052
```



two.
A plane-wave DFT calculation with PBEsol was carried out for LiCd2Ag2 after structural relaxation.

Output
- Magnetization: 0.0 μB/cell

extended XYZ file:
```
5
Lattice="-0.571 3.898 -0.933 -0.225 -0.972 -3.923 -6.056 -2.272 2.998" Properties=species:S:1:pos:R:3 pbc="T T T"
Cd -3.339 -0.891 -1.677
Cd -3.512 1.544 -0.182
Ag -5.162 -0.647 0.456
Ag -1.689 1.301 -2.314
Li 0.000 0.000 0.000
```



What should be chosen as the most stable of them? Choose one.



one.
A plane-wave DFT calculation with PBEsol was carried out for NbCd3Ag after structural relaxation.

Output
- Magnetization: 1.9 μB/cell

extended XYZ file:
```
5
Lattice="-0.453 5.261 -0.379 -4.817 -0.258 2.182 2.150 0.532 4.808" Properties=species:S:1:pos:R:3 pbc="T T T"
Cd 1.075 0.266 2.404
Cd -0.227 2.631 -0.190
Cd -2.408 -0.129 1.091
Nb 0.000 0.000 0.000
Ag -1.560 2.768 3.306
```



two.
A plane-wave DFT calculation with PBEsol was carried out for NbCd3Ag after structural relaxation.

Output
- Magnetization: 2.9 μB/cell

extended XYZ file:
```
5
Lattice="-4.276 2.455 0.726 -2.446 -3.499 -2.572 -0.757 -2.563 4.207" Properties=species:S:1:pos:R:3 pbc="T T T"
Ag 0.000 0.000 0.000
Cd -2.138 1.228 0.363
Cd -1.223 -1.750 -1.286
Cd -0.379 -1.281 2.104
Nb -3.740 -1.803 1.181
```



What should be chosen as the most stable of them? Choose two.



one.
A plane-wave DFT calculation with PBEsol was carried out for CdAg2O4 after structural relaxation.

Output
- Magnetization: 0.0 μB/cell

extended XYZ file:
```
14
Lattice="-4.645 -3.463 0.942 2.627 1.156 5.121 -2.641 6.247 -2.309" Properties=species:S:1:pos:R:3 pbc="T T T"
O -3.966 -1.174 1.760
O 0.154 1.368 4.658
O -2.685 -0.550 4.327
O -4.962 2.403 -0.458
O -2.607 4.089 -0.936
O -1.192 0.835 2.104
O -2.836 3.506 2.013
O -0.546 5.283 1.549
Ag -0.878 1.225 0.174
Ag 0.366 1.899 2.748
Ag -1.390 4.350 3.096
Ag -3.782 2.715 3.580
Cd -4.148 0.815 0.832
Cd -1.009 -1.154 3.032
```



two.
A plane-wave DFT calculation with PBEsol was carried out for CdAg2O4 after structural relaxation.

Output
- Magnetization: 0.0 μB/cell

extended XYZ file:
```
14
Lattice="5.889 0.000 0.000 0.000 5.889 0.000 -2.944 -2.944 5.740" Properties=species:S:1:pos:R:3 pbc="T T T"
O 1.589 0.000 1.515
O 0.000 -1.355 4.386
O 4.300 0.000 1.515
O 1.589 2.944 1.355
O 4.300 2.944 1.355
O 2.944 1.355 4.225
O 2.944 -1.355 4.225
O 0.000 1.355 4.386
Ag 2.944 1.472 1.435
Ag -1.472 0.000 4.305
Ag 2.944 4.417 1.435
Ag 1.472 0.000 4.305
Cd 0.000 0.000 0.000
Cd 0.000 2.944 2.870
```



What should be chosen as the most stable of them? Choose two.



one.
A plane-wave DFT calculation with PBEsol was carried out for CdAgPt after structural relaxation.

Output
- Magnetization: 0.0 μB/cell

extended XYZ file:
```
3
Lattice="2.911 0.000 0.000 0.000 2.911 0.000 -1.456 -1.456 5.899" Properties=species:S:1:pos:R:3 pbc="T T T"
Ag 0.000 0.000 0.046
Cd 0.000 0.000 3.884
Pt 1.456 1.456 1.969
```



two.
A plane-wave DFT calculation with PBEsol was carried out for CdAgPt after structural relaxation.

Output
- Magnetization: 0.0 μB/cell

extended XYZ file:
```
3
Lattice="-2.156 1.853 0.563 -2.418 -2.068 -2.450 1.041 -2.343 4.240" Properties=species:S:1:pos:R:3 pbc="T T T"
Ag -3.527 -2.547 2.339
Pt -0.829 -1.631 2.195
Cd -2.708 -0.936 0.172
```



What should be chosen as the most stable of them? Choose two.



one.
A plane-wave DFT calculation with PBEsol was carried out for RbCd2Ag2 after structural relaxation.

Output
- Magnetization: 0.0 μB/cell

extended XYZ file:
```
5
Lattice="-4.559 0.157 1.973 0.793 -4.395 2.180 3.827 4.601 2.220" Properties=species:S:1:pos:R:3 pbc="T T T"
Rb 0.000 0.000 0.000
Cd -1.360 -1.452 3.232
Cd 1.422 1.814 3.141
Ag -1.307 1.319 3.134
Ag 1.369 -0.957 3.238
```



two.
A plane-wave DFT calculation with PBEsol was carried out for RbCd2Ag2 after structural relaxation.

Output
- Magnetization: 0.0 μB/cell

extended XYZ file:
```
10
Lattice="2.965 0.000 0.000 0.000 8.707 0.000 0.000 0.000 8.707" Properties=species:S:1:pos:R:3 pbc="T T T"
Ag 1.483 7.204 2.851
Ag 1.483 1.503 5.857
Ag 1.483 2.851 1.503
Ag 1.483 5.857 7.204
Rb 0.000 4.354 4.354
Rb 0.000 0.000 0.000
Cd 0.000 5.413 1.059
Cd 0.000 7.648 5.413
Cd 0.000 3.295 7.648
Cd 0.000 1.059 3.295
```



What should be chosen as the most stable of them? Choose two.



one.
A plane-wave DFT calculation with PBEsol was carried out for Cd2ReAg after structural relaxation.

Output
- Magnetization: 0.0 μB/cell

extended XYZ file:
```
4
Lattice="-2.728 -0.803 2.996 3.092 -1.017 2.543 0.056 4.750 -1.523" Properties=species:S:1:pos:R:3 pbc="T T T"
Ag 0.000 0.000 0.000
Cd 1.665 1.412 1.895
Cd -1.245 1.519 2.121
Re 0.182 -0.910 2.769
```



two.
A plane-wave DFT calculation with PBEsol was carried out for Cd2ReAg after structural relaxation.

Output
- Magnetization: 0.0 μB/cell

extended XYZ file:
```
4
Lattice="2.866 0.000 0.000 0.000 4.957 0.000 -1.433 -2.479 4.833" Properties=species:S:1:pos:R:3 pbc="T T T"
Cd 1.433 2.479 2.380
Cd 0.000 0.000 2.453
Ag 0.000 2.479 0.000
Re 1.433 0.000 0.000
```



What should be chosen as the most stable of them? Choose two.



one.
A plane-wave DFT calculation with PBEsol was carried out for Cd2AgSb after structural relaxation.

Output
- Magnetization: 0.0 μB/cell

extended XYZ file:
```
4
Lattice="-3.407 -0.326 -3.597 -2.117 -4.373 -1.026 -4.765 -0.784 1.157" Properties=species:S:1:pos:R:3 pbc="T T T"
Cd 0.000 0.000 0.000
Cd -7.716 -4.112 -2.600
Sb -2.572 -1.371 -0.867
Ag -5.144 -2.741 -1.733
```



two.
A plane-wave DFT calculation with PBEsol was carried out for Cd2AgSb after structural relaxation.

Output
- Magnetization: 0.0 μB/cell

extended XYZ file:
```
4
Lattice="-2.323 -1.915 0.017 3.393 -4.114 0.205 -0.642 3.193 5.243" Properties=species:S:1:pos:R:3 pbc="T T T"
Cd 0.486 -2.932 2.581
Cd -0.058 0.096 2.884
Sb -1.162 -0.958 0.009
Ag 1.696 -2.057 0.102
```



What should be chosen as the most stable of them? Choose two.



one.
A plane-wave DFT calculation with PBEsol was carried out for Tl2CdAg after structural relaxation.

Output
- Magnetization: 0.0 μB/cell

extended XYZ file:
```
4
Lattice="-2.140 2.641 -0.002 -1.093 -0.883 3.840 7.115 1.145 2.288" Properties=species:S:1:pos:R:3 pbc="T T T"
Tl 1.194 0.899 0.547
Tl 3.780 2.887 1.739
Ag -1.616 0.879 1.919
Cd 3.011 0.131 3.064
```



two.
A plane-wave DFT calculation with PBEsol was carried out for Tl2CdAg after structural relaxation.

Output
- Magnetization: 0.0 μB/cell

extended XYZ file:
```
4
Lattice="5.080 0.000 0.000 2.540 4.399 0.000 2.540 1.466 4.148" Properties=species:S:1:pos:R:3 pbc="T T T"
Tl 2.540 1.466 1.037
Tl 7.620 4.399 3.111
Cd 5.080 2.933 2.074
Ag 0.000 0.000 0.000
```



three.
A plane-wave DFT calculation with PBEsol was carried out for Tl2CdAg after structural relaxation.

Output
- Magnetization: 0.0 μB/cell

extended XYZ file:
```
4
Lattice="3.269 0.000 0.000 0.000 3.269 0.000 0.000 0.000 8.760" Properties=species:S:1:pos:R:3 pbc="T T T"
Tl 0.000 0.000 8.588
Tl 1.635 1.635 2.512
Ag 0.000 0.000 4.555
Cd 1.635 1.635 6.244
```



What should be chosen as the most stable of them? Choose three.



one.
A plane-wave DFT calculation with PBEsol was carried out for Tl2CdAg after structural relaxation.

Output
- Magnetization: 0.0 μB/cell

extended XYZ file:
```
4
Lattice="3.344 0.000 0.000 1.672 2.896 0.000 1.672 0.965 9.536" Properties=species:S:1:pos:R:3 pbc="T T T"
Tl 5.016 2.896 7.024
Tl 1.672 0.965 2.511
Cd 0.000 0.000 0.000
Ag 3.344 1.931 4.768
```



two.
A plane-wave DFT calculation with PBEsol was carried out for Tl2CdAg after structural relaxation.

Output
- Magnetization: 0.0 μB/cell

extended XYZ file:
```
4
Lattice="3.245 0.278 0.477 -0.571 5.357 0.534 -0.571 -2.177 4.924" Properties=species:S:1:pos:R:3 pbc="T T T"
Tl -0.285 -1.088 2.462
Tl -0.285 2.678 0.267
Cd 1.623 0.139 0.239
Ag 1.052 1.729 2.968
```



What should be chosen as the most stable of them? Choose one.



one.
A plane-wave DFT calculation with PBEsol was carried out for ZnCdAg after structural relaxation.

Output
- Magnetization: 0.0 μB/cell

extended XYZ file:
```
3
Lattice="3.093 0.000 0.000 0.000 3.093 0.000 -1.546 -1.546 5.248" Properties=species:S:1:pos:R:3 pbc="T T T"
Cd 1.546 1.546 1.791
Ag 1.546 1.546 5.126
Zn 0.000 0.000 3.578
```



two.
A plane-wave DFT calculation with PBEsol was carried out for ZnCdAg after structural relaxation.

Output
- Magnetization: 0.0 μB/cell

extended XYZ file:
```
3
Lattice="-0.004 2.526 -1.332 -3.877 1.085 2.069 3.961 1.026 1.934" Properties=species:S:1:pos:R:3 pbc="T T T"
Zn 1.348 1.634 1.669
Ag -0.001 0.299 -0.158
Cd -1.267 2.704 1.160
```



three.
A plane-wave DFT calculation with PBEsol was carried out for ZnCdAg after structural relaxation.

Output
- Magnetization: 0.0 μB/cell

extended XYZ file:
```
3
Lattice="4.341 0.000 0.000 2.170 3.759 0.000 2.170 1.253 3.544" Properties=species:S:1:pos:R:3 pbc="T T T"
Zn 2.170 1.253 0.886
Cd 4.341 2.506 1.772
Ag 0.000 0.000 0.000
```



What should be chosen as the most stable of them? Choose one.



one.
A plane-wave DFT calculation with PBEsol was carried out for Zn2CdAg2 after structural relaxation.

Output
- Magnetization: 0.0 μB/cell

extended XYZ file:
```
10
Lattice="3.036 0.000 0.000 0.000 7.389 0.000 0.000 0.000 7.389" Properties=species:S:1:pos:R:3 pbc="T T T"
Zn 1.518 6.215 2.520
Zn 1.518 2.520 1.174
Zn 1.518 4.869 6.215
Zn 1.518 1.174 4.869
Ag 0.000 2.671 6.366
Ag 0.000 4.718 1.023
Ag 0.000 1.023 2.671
Ag 0.000 6.366 4.718
Cd 0.000 3.694 3.694
Cd 0.000 0.000 0.000
```



two.
A plane-wave DFT calculation with PBEsol was carried out for Zn2CdAg2 after structural relaxation.

Output
- Magnetization: 0.0 μB/cell

extended XYZ file:
```
5
Lattice="3.558 0.000 0.000 0.000 3.558 0.000 -1.779 -1.779 6.800" Properties=species:S:1:pos:R:3 pbc="T T T"
Ag 1.779 1.779 1.395
Ag 0.000 0.000 5.405
Zn 1.779 0.000 3.400
Zn 0.000 1.779 3.400
Cd 0.000 0.000 0.000
```



What should be chosen as the most stable of them? Choose one.